Version P
Below is a relaxed structure of CoBiPO2, with properties calculated at the PBE with a Hubbard U level.

abc: 3.9386 3.9386 4.5319
angles: 90.00 90.00 90.00
With the nearest neighbours (Å) after each atom.
Fractional positions:
1 Bi 0.5000 0.5000 0.5000  4 P 2.78, 8 O 3.00
2 O 0.0000 0.5000 0.0000  2 Co 1.97
3 O 0.5000 0.0000 0.0000  2 Co 1.97
4 P 0.0000 0.0000 0.5000  2 Co 2.27
5 Co 0.0000 0.0000 0.0000  4 O 1.97

**Mass density**: 7.82 Mg/m³

Version Q
Below is a relaxed structure of CoBiPO2, with properties calculated at the PBE with a Hubbard U level.

abc: 4.1001 4.1001 5.5945
angles: 90.00 90.00 90.00
With the nearest neighbours (Å) after each atom.
Fractional positions:
1 O 0.5000 0.0000 0.0000  2 Bi 2.05
2 O 0.0000 0.5000 0.0000  2 Bi 2.05
3 P 0.0000 0.0000 0.5000  2 Bi 2.80, 4 Co 2.90
4 Bi 0.0000 0.0000 0.0000  4 O 2.05
5 Co 0.5000 0.5000 0.5000  4 P 2.90

**Mass density**: 5.84 Mg/m³

Most stable structure - version P; separation to the second - 43.8 kJ/mol of atoms.

Version P
Below is a relaxed structure of CoBiP2O, with properties calculated at the PBE with a Hubbard U level.

abc: 5.2829 5.2829 4.1301
angles: 90.00 90.00 90.00
With the nearest neighbours (Å) after each atom.
Fractional positions:
1 Bi 0.0000 0.0000 0.0000  2 O 2.07
2 P 0.5000 0.0000 0.0000  2 Bi 2.64
3 P 0.0000 0.5000 0.0000  2 Bi 2.64
4 Co 0.5000 0.5000 0.5000  8 P 3.35, 4 O 3.74
5 O 0.0000 0.0000 0.5000  2 Bi 2.07

**Mass density**: 4.98 Mg/m³

Version Q
Below is a relaxed structure of CoBiP2O, with properties calculated at the PBE with a Hubbard U level.

abc: 4.8319 4.8319 3.5488
angles: 90.00 90.00 90.00
With the nearest neighbours (Å) after each atom.
Fractional positions:
1 P 0.5000 0.0000 0.0000  2 Co 2.42
2 P 0.0000 0.5000 0.0000  2 Co 2.42
3 Bi 0.5000 0.5000 0.5000  8 P 3.00
4 O 0.0000 0.0000 0.5000  2 Co 1.77
5 Co 0.0000 0.0000 0.0000  2 O 1.77

**Mass density**: 6.93 Mg/m³

Most stable structure - version Q; separation to the second - 83.5 kJ/mol of atoms.